Entry 1:
VASP calculation (PBE-GGA) on a relaxed structure of HgHPd2Pb.

Results
E_tot (eV per atom): -3.450
Space group: P4/mmm (123)
N(E_F) (states/eV/cell): 2.24

a b c (Å): 4.3922 4.3922 4.2311
angles (deg): 90.00 90.00 90.00
With the nearest neighbours (Å) after each atom.
Fractional coordinates of all 5 atoms:
Hg: 0.0000 0.0000 0.0000  2 H 2.12
H: 0.0000 0.0000 0.5000  2 Hg 2.12, 4 Pd 2.20
Pd: 0.0000 0.5000 0.5000  2 H 2.20
Pd: 0.5000 0.0000 0.5000  2 H 2.20
Pb: 0.5000 0.5000 0.0000  8 Pd 3.05, 4 Hg 3.11


Entry 2:
VASP calculation (PBE-GGA) on a relaxed structure of KBeSe2.

Results
E_tot (eV per atom): -2.809
Uncorrected formation energy (eV per atom): 0.14
Space group: P4/mmm (123)
N(E_F) (states/eV/cell): 1.29

a b c (Å): 5.4617 5.4617 2.9329
angles (deg): 90.00 90.00 90.00
With the nearest neighbours (Å) after each atom.
Fractional coordinates of all 4 atoms:
K: 0.0000 0.0000 0.0000  2 K 2.93, 8 Se 3.10
Be: 0.5000 0.5000 0.0000  2 Be 2.93, 8 Se 3.10
Se: 0.0000 0.5000 0.5000  2 Se 2.93, 4 K 3.10, 4 Be 3.10
Se: 0.5000 0.0000 0.5000  2 Se 2.93, 4 K 3.10, 4 Be 3.10


Entry 3:
VASP calculation (PBE-GGA) on a relaxed structure of Tb4Er4Pb.

Results
E_tot (eV per atom): -4.583
Energy of formation from the pure elements (eV per atom): -0.09
Space group: I4/mmm (139)
N(E_F) (states/eV/cell): 14.80

a b c (Å): 7.9309 7.9309 7.9309
angles (deg): 95.28 95.28 144.67
With the nearest neighbours (Å) after each atom.
Fractional coordinates of all 9 atoms:
Tb: 0.1623 0.1623 0.3246  2 Pb 3.44, 4 Tb 3.47-3.58, 6 Er 3.51-3.61
Tb: 0.1623 0.8377 0.0000  2 Pb 3.44, 4 Tb 3.47-3.58, 6 Er 3.51-3.61
Tb: 0.8377 0.1623 0.0000  2 Pb 3.44, 4 Tb 3.47-3.58, 6 Er 3.51-3.61
Tb: 0.8377 0.8377 0.6754  2 Pb 3.44, 4 Tb 3.47-3.58, 6 Er 3.51-3.61
Er: 0.1618 0.5000 0.6618  5 Er 3.43-3.46, 6 Tb 3.51-3.61, 1 Pb 3.61
Er: 0.5000 0.1618 0.6618  5 Er 3.43-3.46, 6 Tb 3.51-3.61, 1 Pb 3.61
Er: 0.5000 0.8382 0.3382  5 Er 3.43-3.46, 6 Tb 3.51-3.61, 1 Pb 3.61
Er: 0.8382 0.5000 0.3382  5 Er 3.43-3.46, 6 Tb 3.51-3.61, 1 Pb 3.61
Pb: 0.5000 0.5000 0.0000  8 Tb 3.44, 4 Er 3.61


Entry 4:
VASP calculation (PBE-GGA) on a relaxed structure of ZrVI.

Results
E_tot (eV per atom): -6.537
Uncorrected formation energy (eV per atom): -0.13
Space group: P-1 (2)
N(E_F) (states/eV/cell): 3.44

a b c (Å): 3.5045 3.5118 13.1432
angles (deg): 93.17 93.05 108.02
With the nearest neighbours (Å) after each atom.
Fractional coordinates of all 6 atoms:
Zr: 0.1639 0.0604 0.3178  2 V 2.66-2.89, 1 I 2.90
Zr: 0.8361 0.9396 0.6822  2 V 2.66-2.89, 1 I 2.90
V: 0.2985 0.3196 0.5412  1 V 2.00
V: 0.7015 0.6804 0.4588  1 V 2.00
I: 0.2458 0.6380 0.8416  3 Zr 2.90-3.07
I: 0.7542 0.3620 0.1584  3 Zr 2.90-3.07


Entry 5:
VASP calculation (PBE-GGA) on a relaxed structure of LiCe2TcH6.

Results
E_tot (eV per atom): -4.772
Space group: P-3m1 (164)
N(E_F) (states/eV/cell): 12.57

a b c (Å): 5.0448 5.0448 5.0697
angles (deg): 90.00 90.00 120.00
With the nearest neighbours (Å) after each atom.
Fractional coordinates of all 10 atoms:
Li: 0.0000 0.0000 0.0000  6 H 2.02
Ce: 0.3333 0.6667 0.7335  9 H 2.52-2.74
Ce: 0.6667 0.3333 0.2665  9 H 2.52-2.74
Tc: 0.0000 0.0000 0.5000  6 H 1.82
H: 0.1648 0.3295 0.2788  1 Tc 1.82, 1 Li 2.02
H: 0.1648 0.8352 0.2788  1 Tc 1.82, 1 Li 2.02
H: 0.3295 0.1648 0.7212  1 Tc 1.82, 1 Li 2.02
H: 0.6705 0.8352 0.2788  1 Tc 1.82, 1 Li 2.02
H: 0.8352 0.1648 0.7212  1 Tc 1.82, 1 Li 2.02
H: 0.8352 0.6705 0.7212  1 Tc 1.82, 1 Li 2.02


Entry 6:
VASP calculation (PBE-GGA) on a relaxed structure of PrHS.

Results
E_tot (eV per atom): -5.111
Space group: I4mm (107)
N(E_F) (states/eV/cell): 0.48

a b c (Å): 4.7753 4.7753 4.7753
angles (deg): 133.23 133.23 68.29
With the nearest neighbours (Å) after each atom.
Fractional coordinates of all 3 atoms:
Pr: 0.0000 0.0000 0.0000  1 H 2.37
H: 0.7000 0.7000 0.0000  1 Pr 2.37
S: 0.3625 0.3625 0.0000  5 H 2.67-2.97, 5 Pr 2.87-2.89


Entry 7:
VASP calculation (PBE-GGA) on a relaxed structure of NaLu2Tc.

Results
E_tot (eV per atom): -5.235
Energy of formation from the pure elements (eV per atom): -0.05
Space group: P4/mmm (123)
N(E_F) (states/eV/cell): 4.09

a b c (Å): 3.4017 3.4017 9.0255
angles (deg): 90.00 90.00 90.00
With the nearest neighbours (Å) after each atom.
Fractional coordinates of all 4 atoms:
Na: 0.0000 0.0000 0.0000  4 Na 3.40, 8 Lu 3.79
Lu: 0.5000 0.5000 0.3244  4 Tc 2.88, 1 Lu 3.17
Lu: 0.5000 0.5000 0.6756  4 Tc 2.88, 1 Lu 3.17
Tc: 0.0000 0.0000 0.5000  8 Lu 2.88


Entry 8:
VASP calculation (PBE-GGA) on a relaxed structure of Zn4CdMo.

Results
E_tot (eV per atom): -2.540
Energy of formation from the pure elements (eV per atom): 0.27
Space group: F-43m (216)
N(E_F) (states/eV/cell): 3.82

a b c (Å): 5.1143 5.1143 5.1143
angles (deg): 60.00 60.00 60.00
With the nearest neighbours (Å) after each atom.
Fractional coordinates of all 6 atoms:
Zn: 0.1237 0.1237 0.1237  6 Zn 2.53-2.58
Zn: 0.1237 0.1237 0.6288  6 Zn 2.53-2.58
Zn: 0.1237 0.6288 0.1237  6 Zn 2.53-2.58
Zn: 0.6288 0.1237 0.1237  6 Zn 2.53-2.58
Cd: 0.5000 0.5000 0.5000  12 Zn 3.00, 4 Mo 3.13
Mo: 0.7500 0.7500 0.7500  12 Zn 3.00, 4 Cd 3.13